1.
6
Lattice="3.862 -0.141 0.081 -1.876 5.643 1.771 -0.199 2.808 8.545" Properties=species:S:1:pos:R:3 comment="GGA-PBE CdBiSe, relaxed" e_form_raw_mev_per_atom=-104.3 n_ef_per_ev_atom=0.2649 de_polymorph_mev_per_atom=159 pbc="T T T"
Bi 1.871 7.464 8.682
Bi -0.085 0.846 1.714
Cd 1.866 2.887 4.555
Cd -0.080 5.423 5.841
Se 1.800 4.808 7.853
Se -0.014 3.502 2.544

2.
5
Lattice="5.335 0.000 0.000 0.000 5.335 0.000 0.000 0.000 5.335" Properties=species:S:1:pos:R:3 comment="GGA-PBE Cd3BiSe, relaxed" e_form_raw_mev_per_atom=250.1 n_ef_per_ev_atom=0.8054 de_polymorph_mev_per_atom=0 pbc="T T T"
Bi 2.667 2.667 2.667
Cd 2.667 0.000 0.000
Cd 0.000 2.667 0.000
Cd 0.000 0.000 2.667
Se 0.000 0.000 0.000

3.
5
Lattice="5.190 0.000 0.000 0.000 5.190 0.000 0.000 0.000 5.190" Properties=species:S:1:pos:R:3 comment="GGA-PBE CdBiSe3, relaxed" e_form_raw_mev_per_atom=339.7 n_ef_per_ev_atom=0.9292 de_polymorph_mev_per_atom=640 pbc="T T T"
Se 2.595 0.000 0.000
Se 0.000 2.595 0.000
Se 0.000 0.000 2.595
Cd 0.000 0.000 0.000
Bi 2.595 2.595 2.595

4.
5
Lattice="-2.058 -4.193 -3.153 4.033 -3.431 1.930 -3.355 -1.552 4.254" Properties=species:S:1:pos:R:3 comment="GGA-PBE CdBi3Se, relaxed" e_form_raw_mev_per_atom=760.7 n_ef_per_ev_atom=1.6598 de_polymorph_mev_per_atom=251 pbc="T T T"
Bi 2.017 -1.716 0.965
Bi -1.029 -2.097 -1.577
Bi -1.678 -0.776 2.127
Cd 0.000 0.000 0.000
Se -0.690 -4.588 1.515

5.
5
Lattice="5.654 0.000 0.000 0.000 5.654 0.000 0.000 0.000 5.654" Properties=species:S:1:pos:R:3 comment="GGA-PBE Cd3BiSe, relaxed" e_form_raw_mev_per_atom=395.1 n_ef_per_ev_atom=0.5375 de_polymorph_mev_per_atom=145 pbc="T T T"
Cd 0.000 0.000 2.827
Cd 2.827 0.000 0.000
Cd 0.000 2.827 0.000
Bi 0.000 0.000 0.000
Se 2.827 2.827 2.827

6.
18
Lattice="-1.133 2.835 3.035 4.968 -6.720 5.079 10.908 6.530 -2.028" Properties=species:S:1:pos:R:3 comment="GGA-PBE Sr2CdBiSe5, relaxed" e_form_raw_mev_per_atom=-1081.5 n_ef_per_ev_atom=0.3974 pbc="T T T"
Bi 7.545 2.085 3.923
Bi 2.414 -2.303 3.053
Sr 4.357 0.737 0.939
Sr 7.873 3.374 -0.212
Sr 4.768 -1.987 6.690
Sr 11.570 2.618 4.928
Se 5.814 3.326 2.117
Se 1.344 -0.382 0.859
Se 3.730 0.069 4.382
Se 10.902 4.811 2.629
Se 7.855 6.428 -0.019
Se 14.115 2.425 3.005
Se 6.565 -0.534 2.950
Se 7.334 -3.516 6.023
Se 9.317 0.584 5.986
Se 9.804 1.853 1.929
Cd 8.637 -1.659 4.774
Cd 10.352 6.846 0.523